1.
# Mn2ZnPb, relaxed, DFT PBE
data_Mn2ZnPb
_space_group_name_H-M_alt 'P 4 m m'
_space_group_IT_number 99
_cell_length_a 3.3171
_cell_length_b 3.3171
_cell_length_c 6.6160
_cell_angle_alpha 90.00
_cell_angle_beta 90.00
_cell_angle_gamma 90.00
loop_
_space_group_symop_operation_xyz
'x,y,z'
'-y,x,z'
'-x,-y,z'
'y,-x,z'
'-x,y,z'
'y,x,z'
'x,-y,z'
'-y,-x,z'
loop_
_atom_site_label
_atom_site_type_symbol
_atom_site_fract_x
_atom_site_fract_y
_atom_site_fract_z
_atom_site_occupancy
Mn1 Mn 0.0000 0.0000 0.0000 1
Mn2 Mn 0.5000 0.5000 0.2129 1
Zn1 Zn 0.5000 0.5000 0.8131 1
Pb1 Pb 0.0000 0.0000 0.4945 1
# * total magnetic moment: 7.04 μB/f.u.
# * relative energy among the computed polymorphs: 1.27 kJ/mol of atoms
# * total DFT energy (no corrections): -5.47 eV/atom
# * energy of formation: 359.2 meV per atom
# * volume: 73 Å³/cell

***

2.
# Mn2ZnPb, relaxed, DFT PBE
data_Mn2ZnPb
_space_group_name_H-M_alt 'P m m m'
_space_group_IT_number 47
_cell_length_a 3.1510
_cell_length_b 3.4151
_cell_length_c 6.5661
_cell_angle_alpha 90.00
_cell_angle_beta 90.00
_cell_angle_gamma 90.00
loop_
_space_group_symop_operation_xyz
'x,y,z'
'-x,-y,-z'
'-x,-y,z'
'x,y,-z'
'x,-y,-z'
'-x,y,z'
'-x,y,-z'
'x,-y,z'
loop_
_atom_site_label
_atom_site_type_symbol
_atom_site_fract_x
_atom_site_fract_y
_atom_site_fract_z
_atom_site_occupancy
Mn1 Mn 0.0000 0.0000 0.2059 1
Zn1 Zn 0.5000 0.5000 0.0000 1
Pb1 Pb 0.5000 0.5000 0.5000 1
# * total magnetic moment: 7.16 μB/f.u.
# * relative energy among the computed polymorphs: 0.13 kJ/mol of atoms
# * total DFT energy (no corrections): -5.48 eV/atom
# * energy of formation: 347.4 meV per atom
# * volume: 71 Å³/cell

***

3.
# Mn2ZnPb, relaxed, DFT PBE
data_Mn2ZnPb
_space_group_name_H-M_alt 'I -4 2 d'
_space_group_IT_number 122
_space_group_name_Hall 'I -4 2bw'
_cell_length_a 3.8807
_cell_length_b 3.8807
_cell_length_c 18.0785
_cell_angle_alpha 90.00
_cell_angle_beta 90.00
_cell_angle_gamma 90.00
loop_
_atom_site_label
_atom_site_type_symbol
_atom_site_fract_x
_atom_site_fract_y
_atom_site_fract_z
_atom_site_occupancy
Mn1 Mn 0.1434 0.2500 0.1250 1
Zn1 Zn 0.0000 0.0000 0.0000 1
Pb1 Pb 0.0000 0.0000 0.5000 1
# * total magnetic moment: 0.00 μB/f.u.
# * relative energy among the computed polymorphs: 42.53 kJ/mol of atoms
# * total DFT energy (no corrections): -5.04 eV/atom
# * energy of formation: 786.8 meV per atom
# * volume: 272 Å³/cell